No. 1
7
Lattice="-2.270 2.270 9.685 2.270 -2.270 9.685 2.270 2.270 -9.685" Properties=species:S:1:pos:R:3 comment="GGA-PBE CePr2I2N2, relaxed" dft_energy_ev_per_atom=-6.20 pbc="T T T"
Ce 0.000 0.000 0.000
Pr 0.000 0.000 8.145
Pr 0.000 0.000 11.225
I 0.000 0.000 3.248
I 0.000 0.000 16.122
N 2.270 0.000 0.000
N 0.000 2.270 0.000

No. 2
10
Lattice="1.945 -5.444 0.000 1.945 5.444 0.000 0.000 0.000 7.668" Properties=species:S:1:pos:R:3 comment="GGA-PBE TbGaTc2C, relaxed" dft_energy_ev_per_atom=-7.84 pbc="T T T"
Tb 1.945 5.029 5.751
Tb 1.945 -5.029 1.917
Ga 1.945 2.846 1.917
Ga 1.945 -2.846 5.751
Tc 1.945 1.879 4.263
Tc 1.945 1.879 7.239
Tc 1.945 -1.879 0.429
Tc 1.945 -1.879 3.405
C 1.945 0.000 0.000
C 1.945 0.000 3.834

No. 3
4
Lattice="3.223 0.000 0.000 0.000 3.223 0.000 0.000 0.000 6.829" Properties=species:S:1:pos:R:3 comment="GGA-PBE PmHfCo2, relaxed" polymorph_energy_ev_per_atom=0.000 pbc="T T T"
Pm 0.000 0.000 0.000
Hf 0.000 0.000 3.415
Co 1.612 1.612 1.986
Co 1.612 1.612 4.844

No. 4
15
Lattice="4.584 2.647 7.075 -4.584 2.647 7.075 0.000 -5.293 7.075" Properties=species:S:1:pos:R:3 comment="GGA-PBE La8Y6Sc, relaxed" dft_energy_ev_per_atom=-5.52 pbc="T T T"
La 0.000 0.000 1.644
La -1.852 0.804 7.635
La 0.230 -2.006 7.635
La -1.623 -1.202 13.589
La 1.623 1.202 7.635
La -0.230 2.006 13.589
La 1.852 -0.804 13.589
La 0.000 0.000 19.580
Y -2.513 -2.283 9.823
Y -3.233 1.035 11.401
Y 0.721 -3.317 11.401
Y -0.721 3.317 9.823
Y 3.233 -1.035 9.823
Y 2.513 2.283 11.401
Sc 0.000 0.000 10.612

No. 5
17
Lattice="-3.798 3.825 3.883 3.798 -3.825 3.883 3.798 3.825 -3.883" Properties=species:S:1:pos:R:3 comment="GGA-PBE Ga4CuF12, relaxed" dft_energy_ev_per_atom=-4.55 pbc="T T T"
Ga 1.899 1.912 -1.942
Ga 1.899 -1.912 1.942
Ga -1.899 1.912 1.942
Ga 1.899 1.912 1.942
Cu 0.000 0.000 0.000
F 0.000 5.435 2.245
F 3.798 -1.610 1.638
F 1.519 1.591 0.000
F 2.279 -2.233 3.883
F 2.167 3.825 -1.624
F 1.631 0.000 2.260
F 3.798 1.610 1.638
F 0.000 2.215 2.245
F 2.167 3.825 1.624
F 1.631 0.000 5.507
F 1.519 6.058 0.000
F 2.279 2.233 3.883

No. 6
16
Lattice="1.881 -5.297 0.000 1.881 5.297 0.000 0.000 0.000 14.610" Properties=species:S:1:pos:R:3 comment="GGA-PBE Pa3Be2Si3, relaxed" dft_energy_ev_per_atom=-6.94 pbc="T T T"
Pa 1.881 4.890 10.957
Pa 1.881 1.597 8.673
Pa 1.881 1.597 13.242
Pa 1.881 -1.597 1.368
Pa 1.881 -1.597 5.937
Pa 1.881 -4.890 3.652
Be 1.881 1.443 1.771
Be 1.881 1.443 5.534
Be 1.881 -1.443 9.076
Be 1.881 -1.443 12.839
Si 1.881 4.502 8.149
Si 1.881 4.502 13.765
Si 1.881 2.766 3.652
Si 1.881 -2.766 10.957
Si 1.881 -4.502 0.845
Si 1.881 -4.502 6.460

No. 7
12
Lattice="-2.138 2.272 10.178 2.138 -2.272 10.178 2.138 2.272 -10.178" Properties=species:S:1:pos:R:3 comment="GGA-PBE CsNp2Cd2O7, relaxed" dft_energy_ev_per_atom=-7.40 pbc="T T T"
Cs 0.000 0.000 0.000
Np 0.000 0.000 8.000
Np 0.000 0.000 12.356
Cd 2.138 0.000 4.669
Cd 0.000 2.272 5.508
O 2.138 0.000 2.335
O 0.000 0.000 5.669
O 2.138 0.000 7.946
O 0.000 0.000 10.178
O 0.000 2.272 2.232
O 0.000 0.000 14.687
O 0.000 2.272 7.843

No. 8
8
Lattice="-3.398 3.398 5.649 3.398 -3.398 5.649 3.398 3.398 -5.649" Properties=species:S:1:pos:R:3 comment="GGA-PBE SbCI2, relaxed" polymorph_energy_ev_per_atom=0.000 pbc="T T T"
Sb 0.000 0.000 0.000
Sb 0.000 3.398 2.824
C 3.398 0.000 2.824
C 0.000 0.000 5.649
I 1.699 -0.646 4.237
I 2.752 1.699 1.412
I 1.699 4.044 -1.412
I 0.646 1.699 7.061

No. 9
8
Lattice="-3.542 3.542 2.716 3.542 -3.542 2.716 3.542 3.542 -2.716" Properties=species:S:1:pos:R:3 comment="GGA-PBE Hg2OsO, relaxed" dft_energy_ev_per_atom=-3.23 pbc="T T T"
Hg 5.313 1.448 -0.679
Hg 1.448 1.771 0.679
Hg -1.771 2.094 2.037
Hg 2.094 1.771 3.395
Os 3.542 0.000 1.358
Os 0.000 0.000 2.716
O 0.000 0.000 0.000
O 0.000 3.542 1.358